# 1
A relaxed TcNiP crystal, computed with PBE.

Cell lengths 6.1090, 2.9062, 9.0153 Å; angles 90.00, 104.12, 90.00 degrees
With the nearest neighbours (Å) after each atom.
Element x y z (fractional)
1 Tc 0.3243 0.0000 0.0191  5 P 2.37-2.62, 1 Ni 2.61
2 Tc 0.3243 0.5000 0.5191  5 P 2.37-2.62, 1 Ni 2.61
3 Tc 0.9732 0.0000 0.5548  3 P 2.38-2.54, 3 Ni 2.48-2.53
4 Tc 0.9732 0.5000 0.0548  3 P 2.38-2.54, 3 Ni 2.48-2.53
5 Ni 0.5723 0.0000 0.3389  3 P 2.25-2.46
6 Ni 0.5723 0.5000 0.8389  3 P 2.25-2.46
7 Ni 0.9289 0.0000 0.8261  3 P 2.22-2.31, 2 Tc 2.48
8 Ni 0.9289 0.5000 0.3261  3 P 2.22-2.31, 2 Tc 2.48
9 P 0.1922 0.0000 0.2719  3 Ni 2.25-2.31
10 P 0.1922 0.5000 0.7719  3 Ni 2.25-2.31
11 P 0.6263 0.0000 0.6313  3 Ni 2.22-2.46, 3 Tc 2.37-2.38
12 P 0.6263 0.5000 0.1313  3 Ni 2.22-2.46, 3 Tc 2.37-2.38

Its total energy is -7.449 eV per atom. As for the energy of formation from the pure elements: -263 meV per atom. As for the spin magnetization: 0.0 Bohr magnetons per cell. As for the polymorph energy (0 for the lowest one): 238.8 meV/atom.

---

# 2
A relaxed La4Nd5Th crystal, computed with PBE.

Cell lengths 3.6833, 3.6833, 26.3727 Å; angles 90.00, 90.00, 90.00 degrees
With the nearest neighbours (Å) after each atom.
Element x y z (fractional)
1 La 0.0000 0.0000 0.1984  4 La 3.68, 8 Nd 3.71-3.81
2 La 0.0000 0.0000 0.3994  4 La 3.68, 8 Nd 3.72
3 La 0.0000 0.0000 0.6006  4 La 3.68, 8 Nd 3.72
4 La 0.0000 0.0000 0.8016  4 La 3.68, 8 Nd 3.71-3.81
5 Nd 0.5000 0.5000 0.0927  4 Th 3.57, 4 Nd 3.68, 4 La 3.81
6 Nd 0.5000 0.5000 0.2987  4 Nd 3.68, 8 La 3.71-3.72
7 Nd 0.5000 0.5000 0.5000  4 Nd 3.68, 8 La 3.72
8 Nd 0.5000 0.5000 0.7013  4 Nd 3.68, 8 La 3.71-3.72
9 Nd 0.5000 0.5000 0.9073  4 Th 3.57, 4 Nd 3.68, 4 La 3.81
10 Th 0.0000 0.0000 0.0000  8 Nd 3.57, 4 Th 3.68

Its total energy is -5.071 eV per atom. As for the energy of formation from the pure elements: 26 meV per atom. As for the spin magnetization: 0.0 Bohr magnetons per cell.

---

# 3
A relaxed SrCuNi2Bi crystal, computed with PBE.

Cell lengths 4.7265, 4.9784, 4.7265 Å; angles 90.00, 90.00, 90.00 degrees
With the nearest neighbours (Å) after each atom.
Element x y z (fractional)
1 Sr 0.5000 0.5000 0.5000  4 Bi 3.34, 8 Ni 3.43
2 Bi 0.0000 0.5000 0.0000  2 Cu 2.49
3 Cu 0.0000 0.0000 0.0000  4 Ni 2.36, 2 Bi 2.49
4 Ni 0.0000 0.0000 0.5000  2 Cu 2.36
5 Ni 0.5000 0.0000 0.0000  2 Cu 2.36

Its total energy is -3.893 eV per atom. As for the energy of formation from the pure elements: 351 meV per atom. As for the spin magnetization: 0.5 Bohr magnetons per cell.

---

# 4
A relaxed LaSn2P2Pd7 crystal, computed with PBE.

Cell lengths 4.4198, 4.4198, 11.7146 Å; angles 89.69, 89.69, 85.03 degrees
With the nearest neighbours (Å) after each atom.
Element x y z (fractional)
1 La 0.0000 0.0000 0.0000  8 Pd 2.99-3.34, 2 P 3.05
2 Sn 0.8427 0.8427 0.3950  5 Pd 2.65-2.80
3 Sn 0.1573 0.1573 0.6050  5 Pd 2.65-2.80
4 P 0.6583 0.6583 0.8237  5 Pd 2.30-2.38
5 P 0.3417 0.3417 0.1763  5 Pd 2.30-2.38
6 Pd 0.5000 0.5000 0.0000  2 P 2.30
7 Pd 0.3539 0.3539 0.4061  1 Sn 2.65, 1 P 2.69, 5 Pd 2.83-2.92
8 Pd 0.6461 0.6461 0.5939  1 Sn 2.65, 1 P 2.69, 5 Pd 2.83-2.92
9 Pd 0.8434 0.3457 0.2487  2 P 2.35-2.38
10 Pd 0.3457 0.8434 0.2487  2 P 2.35-2.38
11 Pd 0.6543 0.1566 0.7513  2 P 2.35-2.38
12 Pd 0.1566 0.6543 0.7513  2 P 2.35-2.38

Its total energy is -5.613 eV per atom. As for the energy of formation from the pure elements: -604 meV per atom. As for the spin magnetization: 0.0 Bohr magnetons per cell.

---

# 5
A relaxed ScSiNi6B crystal, computed with PBE.

Cell lengths 5.6246, 7.7141, 6.8618 Å; angles 124.20, 114.20, 90.00 degrees
With the nearest neighbours (Å) after each atom.
Element x y z (fractional)
1 Sc 0.7123 0.4623 0.4247  10 Ni 2.66-2.82, 2 B 2.85, 2 Sc 2.91
2 Sc 0.2877 0.5377 0.5753  10 Ni 2.66-2.82, 2 B 2.85, 2 Sc 2.91
3 Si 0.5000 0.0000 0.5000  6 Ni 2.29-2.30
4 Si 0.0000 0.0000 0.5000  6 Ni 2.29-2.30
5 Ni 0.5655 0.8155 0.1310  2 B 2.03
6 Ni 0.0099 0.2599 0.0198  8 Ni 2.56-2.62, 1 Sc 2.74
7 Ni 0.9036 0.1199 0.2456  1 B 1.99
8 Ni 0.3420 0.6257 0.2456  1 B 1.99
9 Ni 0.3420 0.1199 0.2456  1 B 1.99
10 Ni 0.9036 0.6257 0.2456  1 B 1.99
11 Ni 0.4345 0.1845 0.8690  2 B 2.03
12 Ni 0.9901 0.7401 0.9802  8 Ni 2.56-2.62, 1 Sc 2.74
13 Ni 0.0964 0.8801 0.7544  1 B 1.99
14 Ni 0.6580 0.3743 0.7544  1 B 1.99
15 Ni 0.6580 0.8801 0.7544  1 B 1.99
16 Ni 0.0964 0.3743 0.7544  1 B 1.99
17 B 0.5000 0.5000 0.0000  6 Ni 1.99-2.03
18 B 0.5000 0.0000 0.0000  6 Ni 1.99-2.03

Its total energy is -6.172 eV per atom. The formation energy (no corrections) comes out at -26.0 kJ per mole of atoms. As for the spin magnetization: 0.0 Bohr magnetons per cell.

---

# 6
A relaxed TlHgCl2 crystal, computed with PBE.

Cell lengths 4.2295, 4.2295, 7.5133 Å; angles 90.00, 90.00, 97.07 degrees
With the nearest neighbours (Å) after each atom.
Element x y z (fractional)
1 Tl 0.5000 0.5000 0.8198  4 Cl 2.98-3.33
2 Hg 0.0000 0.0000 0.3502  3 Cl 2.81-2.96
3 Cl 0.0000 0.0000 0.9560  1 Hg 2.96, 2 Tl 2.98
4 Cl 0.5000 0.5000 0.3740  2 Hg 2.81

Its total energy is -2.181 eV per atom. The formation energy (no corrections) comes out at -56.9 kJ per mole of atoms. As for the spin magnetization: 0.0 Bohr magnetons per cell. As for the polymorph energy (0 for the lowest one): 37.7 meV/atom.